Computed, not measured: Tb2Dy2YTm4 after structural relaxation at the PBE-GGA level of DFT.

Structure (POSCAR):
```
Tb2Dy2YTm4
1.0
-1.2662 -0.0994 3.3223
4.9571 -7.9941 -0.2539
4.9568 7.7565 2.1211
Tb Dy Y Tm
2 2 1 4
direct
0.8523 0.7046 0.3347
0.1477 0.2954 0.6653
0.3332 0.6665 0.9985
0.6668 0.3335 0.0015
0.0000 0.0000 0.0000
0.8146 0.6291 0.6644
0.1854 0.3709 0.3356
0.5193 0.0385 0.3351
0.4807 0.9615 0.6649
```

Its density of states at the Fermi level is 12.24 states/eV per cell. As for the space group: C2/m, No. 12. The calculation puts the formation energy at 0.000 eV per atom. The calculation puts the raw total energy at -4.76 eV/atom.